# 1
Density functional theory data (PBEsol) for a geometry-optimized CoTcSbI2 structure.

The structure in CIF format:
```
data_CoTcSbI2
_symmetry_space_group_name_H-M 'P 4/m m m'
_symmetry_Int_Tables_number 123
_symmetry_space_group_name_Hall '-P 4 2'
_cell_length_a 5.3709
_cell_length_b 5.3709
_cell_length_c 4.9971
_cell_angle_alpha 90.00
_cell_angle_beta 90.00
_cell_angle_gamma 90.00
loop_
_atom_site_label
_atom_site_fract_x
_atom_site_fract_y
_atom_site_fract_z
_atom_site_occupancy
Co1 0.0000 0.0000 0.0000 1
Tc1 0.5000 0.5000 0.5000 1
Sb1 0.5000 0.5000 0.0000 1
I1 0.0000 0.5000 0.5000 1
```

# 2
Density functional theory data (PBEsol) for a geometry-optimized ZrCoSb2I structure.

The structure in CIF format:
```
data_ZrCoSb2I
_symmetry_space_group_name_H-M 'P 4/m m m'
_symmetry_Int_Tables_number 123
_symmetry_space_group_name_Hall '-P 4 2'
_cell_length_a 4.8233
_cell_length_b 4.8233
_cell_length_c 5.1042
_cell_angle_alpha 90.00
_cell_angle_beta 90.00
_cell_angle_gamma 90.00
loop_
_atom_site_label
_atom_site_fract_x
_atom_site_fract_y
_atom_site_fract_z
_atom_site_occupancy
Zr1 0.0000 0.0000 0.0000 1
Co1 0.5000 0.5000 0.5000 1
Sb1 0.0000 0.5000 0.5000 1
I1 0.5000 0.5000 0.0000 1
```

# 3
Density functional theory data (PBEsol) for a geometry-optimized ScCoTe2I structure.

The structure in CIF format:
```
data_ScCoTe2I
_symmetry_space_group_name_H-M 'P 4/m m m'
_symmetry_Int_Tables_number 123
_symmetry_space_group_name_Hall '-P 4 2'
_cell_length_a 5.4892
_cell_length_b 5.4892
_cell_length_c 5.4725
_cell_angle_alpha 90.00
_cell_angle_beta 90.00
_cell_angle_gamma 90.00
loop_
_atom_site_label
_atom_site_fract_x
_atom_site_fract_y
_atom_site_fract_z
_atom_site_occupancy
Sc1 0.0000 0.0000 0.0000 1
Co1 0.5000 0.5000 0.5000 1
Te1 0.0000 0.5000 0.0000 1
I1 0.0000 0.0000 0.5000 1
```

# 4
Density functional theory data (PBEsol) for a geometry-optimized CoSi3I structure.

The structure in CIF format:
```
data_CoSi3I
_symmetry_space_group_name_H-M 'P m -3 m'
_symmetry_Int_Tables_number 221
_symmetry_space_group_name_Hall '-P 4 2 3'
_cell_length_a 5.1549
_cell_length_b 5.1549
_cell_length_c 5.1549
_cell_angle_alpha 90.00
_cell_angle_beta 90.00
_cell_angle_gamma 90.00
loop_
_atom_site_label
_atom_site_fract_x
_atom_site_fract_y
_atom_site_fract_z
_atom_site_occupancy
Co1 0.0000 0.0000 0.0000 1
Si1 0.0000 0.5000 0.5000 1
I1 0.5000 0.5000 0.5000 1
```

# 5
Density functional theory data (PBEsol) for a geometry-optimized SrCo3I structure.

The structure in CIF format:
```
data_SrCo3I
_symmetry_space_group_name_H-M 'P m -3 m'
_symmetry_Int_Tables_number 221
_symmetry_space_group_name_Hall '-P 4 2 3'
_cell_length_a 4.6427
_cell_length_b 4.6427
_cell_length_c 4.6427
_cell_angle_alpha 90.00
_cell_angle_beta 90.00
_cell_angle_gamma 90.00
loop_
_atom_site_label
_atom_site_fract_x
_atom_site_fract_y
_atom_site_fract_z
_atom_site_occupancy
Sr1 0.0000 0.0000 0.0000 1
Co1 0.0000 0.5000 0.5000 1
I1 0.5000 0.5000 0.5000 1
```

# 6
Density functional theory data (PBEsol) for a geometry-optimized SrTaCo2I structure.

The structure in CIF format:
```
data_SrTaCo2I
_symmetry_space_group_name_H-M 'P 4/m m m'
_symmetry_Int_Tables_number 123
_symmetry_space_group_name_Hall '-P 4 2'
_cell_length_a 4.5733
_cell_length_b 4.5733
_cell_length_c 5.5004
_cell_angle_alpha 90.00
_cell_angle_beta 90.00
_cell_angle_gamma 90.00
loop_
_atom_site_label
_atom_site_fract_x
_atom_site_fract_y
_atom_site_fract_z
_atom_site_occupancy
Sr1 0.0000 0.0000 0.0000 1
Ta1 0.5000 0.5000 0.5000 1
Co1 0.0000 0.5000 0.5000 1
I1 0.5000 0.5000 0.0000 1
```

# 7
Density functional theory data (PBEsol) for a geometry-optimized Ta3CoI structure.

The structure in CIF format:
```
data_Ta3CoI
_symmetry_space_group_name_H-M 'P m -3 m'
_symmetry_Int_Tables_number 221
_symmetry_space_group_name_Hall '-P 4 2 3'
_cell_length_a 4.6200
_cell_length_b 4.6200
_cell_length_c 4.6200
_cell_angle_alpha 90.00
_cell_angle_beta 90.00
_cell_angle_gamma 90.00
loop_
_atom_site_label
_atom_site_fract_x
_atom_site_fract_y
_atom_site_fract_z
_atom_site_occupancy
Ta1 0.0000 0.0000 0.5000 1
Co1 0.0000 0.0000 0.0000 1
I1 0.5000 0.5000 0.5000 1
```

# 8
Density functional theory data (PBEsol) for a geometry-optimized TaCoI3 structure.

The structure in CIF format:
```
data_TaCoI3
_symmetry_space_group_name_H-M 'P m -3 m'
_symmetry_Int_Tables_number 221
_symmetry_space_group_name_Hall '-P 4 2 3'
_cell_length_a 5.0071
_cell_length_b 5.0071
_cell_length_c 5.0071
_cell_angle_alpha 90.00
_cell_angle_beta 90.00
_cell_angle_gamma 90.00
loop_
_atom_site_label
_atom_site_fract_x
_atom_site_fract_y
_atom_site_fract_z
_atom_site_occupancy
Ta1 0.0000 0.0000 0.0000 1
Co1 0.5000 0.5000 0.5000 1
I1 0.0000 0.5000 0.5000 1
```

# 9
Density functional theory data (PBEsol) for a geometry-optimized Tb2Co2I structure.

The structure in CIF format:
```
data_Tb2Co2I
_symmetry_space_group_name_H-M 'P 63/m m c'
_symmetry_Int_Tables_number 194
_symmetry_space_group_name_Hall '-P 6c 2c'
_cell_length_a 3.8707
_cell_length_b 3.8707
_cell_length_c 16.6973
_cell_angle_alpha 90.00
_cell_angle_beta 90.00
_cell_angle_gamma 120.00
loop_
_atom_site_label
_atom_site_fract_x
_atom_site_fract_y
_atom_site_fract_z
_atom_site_occupancy
Tb1 0.0000 0.0000 0.1053 1
Co1 0.3333 0.6667 0.0010 1
I1 0.3333 0.6667 0.7500 1
```

# 10
Density functional theory data (PBEsol) for a geometry-optimized CoTc2I structure.

The structure in CIF format:
```
data_CoTc2I
_symmetry_space_group_name_H-M 'F m -3 m'
_symmetry_Int_Tables_number 225
_symmetry_space_group_name_Hall '-F 4 2 3'
_cell_length_a 6.1306
_cell_length_b 6.1306
_cell_length_c 6.1306
_cell_angle_alpha 90.00
_cell_angle_beta 90.00
_cell_angle_gamma 90.00
loop_
_atom_site_label
_atom_site_fract_x
_atom_site_fract_y
_atom_site_fract_z
_atom_site_occupancy
Co1 0.0000 0.0000 0.0000 1
Tc1 0.2500 0.2500 0.2500 1
I1 0.0000 0.0000 0.5000 1
```

# 11
Density functional theory data (PBEsol) for a geometry-optimized CoTeWI2 structure.

The structure in CIF format:
```
data_CoTeWI2
_symmetry_space_group_name_H-M 'P 4/m m m'
_symmetry_Int_Tables_number 123
_symmetry_space_group_name_Hall '-P 4 2'
_cell_length_a 4.9575
_cell_length_b 4.9575
_cell_length_c 5.0023
_cell_angle_alpha 90.00
_cell_angle_beta 90.00
_cell_angle_gamma 90.00
loop_
_atom_site_label
_atom_site_fract_x
_atom_site_fract_y
_atom_site_fract_z
_atom_site_occupancy
Co1 0.0000 0.0000 0.0000 1
Te1 0.0000 0.0000 0.5000 1
W1 0.5000 0.5000 0.5000 1
I1 0.0000 0.5000 0.0000 1
```

# 12
Density functional theory data (PBEsol) for a geometry-optimized Ti3CoI structure.

The structure in CIF format:
```
data_Ti3CoI
_symmetry_space_group_name_H-M 'P m -3 m'
_symmetry_Int_Tables_number 221
_symmetry_space_group_name_Hall '-P 4 2 3'
_cell_length_a 4.8372
_cell_length_b 4.8372
_cell_length_c 4.8372
_cell_angle_alpha 90.00
_cell_angle_beta 90.00
_cell_angle_gamma 90.00
loop_
_atom_site_label
_atom_site_fract_x
_atom_site_fract_y
_atom_site_fract_z
_atom_site_occupancy
Ti1 0.0000 0.0000 0.5000 1
Co1 0.5000 0.5000 0.5000 1
I1 0.0000 0.0000 0.0000 1
```

Computed formation energy from raw total energies, in the same sequence as the records: 1.25, 0.43, 0.47, 2.20, 0.90, 0.64, 0.98, 1.06, -0.63, 0.75, 1.36, 1.47 eV per atom.